[1]
{
  "formula": "Ga3Ni5Sn2",
  "functional": "GGA-PBE",
  "state": "optimized geometry",
  "e_tot_ev_per_atom": -4.832,
  "cell": [[2.054, -6.174, 0.000], [2.054, 6.174, 0.000], [0.000, 0.000, 11.457]],
  "species": ["Ni", "Ni", "Ni", "Ni", "Ni", "Ni", "Ni", "Ni", "Ni", "Ni", "Ga", "Ga", "Ga", "Ga", "Ga", "Ga", "Sn", "Sn", "Sn", "Sn"],
  "fractional_positions": [[0.841, 0.159, 0.622], [0.159, 0.841, 0.378], [0.520, 0.480, 0.380], [0.520, 0.480, 0.120], [0.159, 0.841, 0.122], [0.661, 0.339, 0.750], [0.339, 0.661, 0.250], [0.480, 0.520, 0.880], [0.841, 0.159, 0.878], [0.480, 0.520, 0.620], [0.668, 0.332, 0.974], [0.332, 0.668, 0.026], [0.668, 0.332, 0.526], [0.000, 0.000, 0.000], [0.000, 0.000, 0.500], [0.332, 0.668, 0.474], [0.708, 0.292, 0.250], [0.967, 0.033, 0.250], [0.033, 0.967, 0.750], [0.292, 0.708, 0.750]]
}

[2]
{
  "formula": "GaNi6Sn",
  "functional": "GGA-PBE",
  "state": "optimized geometry",
  "e_tot_ev_per_atom": -5.289,
  "cell": [[5.213, 0.000, 0.000], [-2.607, 4.515, 0.000], [0.000, 0.000, 4.164]],
  "species": ["Ni", "Ni", "Ni", "Ni", "Ni", "Ni", "Ga", "Sn"],
  "fractional_positions": [[0.337, 0.169, 0.500], [0.831, 0.169, 0.500], [0.985, 0.492, 0.000], [0.508, 0.492, 0.000], [0.831, 0.663, 0.500], [0.508, 0.015, 0.000], [0.000, 0.000, 0.000], [0.333, 0.667, 0.500]]
}

[3]
{
  "formula": "GaNiSn",
  "functional": "GGA-PBE",
  "state": "optimized geometry",
  "e_tot_ev_per_atom": -3.982,
  "cell": [[0.000, 3.106, 3.106], [3.106, 0.000, 3.106], [3.106, 3.106, 0.000]],
  "species": ["Sn", "Ni", "Ga"],
  "fractional_positions": [[0.000, 0.000, 0.000], [0.750, 0.750, 0.750], [0.250, 0.250, 0.250]]
}

[4]
{
  "formula": "GaNiSn",
  "functional": "GGA-PBE",
  "state": "optimized geometry",
  "e_tot_ev_per_atom": -4.461,
  "cell": [[-2.160, -1.560, 3.285], [-3.039, 2.310, 1.821], [-4.058, -1.098, -0.466]],
  "species": ["Sn", "Ni", "Ga"],
  "fractional_positions": [[0.750, 0.750, 0.750], [0.000, 0.000, 0.000], [0.250, 0.250, 0.250]]
}

[5]
{
  "formula": "Ga3Ni5Sn2",
  "functional": "GGA-PBE",
  "state": "optimized geometry",
  "e_tot_ev_per_atom": -4.832,
  "cell": [[-5.959, 1.290, 2.290], [3.215, -2.274, -5.188], [-0.669, -10.610, 4.236]],
  "species": ["Ga", "Ga", "Ga", "Ga", "Ga", "Ga", "Ni", "Ni", "Ni", "Ni", "Ni", "Ni", "Ni", "Ni", "Ni", "Ni", "Sn", "Sn", "Sn", "Sn"],
  "fractional_positions": [[0.669, 0.331, 0.026], [0.331, 0.669, 0.526], [0.000, 0.000, 0.500], [0.669, 0.331, 0.474], [0.331, 0.669, 0.974], [0.000, 0.000, 0.000], [0.159, 0.841, 0.622], [0.159, 0.841, 0.878], [0.520, 0.480, 0.880], [0.841, 0.159, 0.378], [0.480, 0.520, 0.380], [0.520, 0.480, 0.620], [0.841, 0.159, 0.122], [0.662, 0.338, 0.250], [0.480, 0.520, 0.120], [0.338, 0.662, 0.750], [0.708, 0.292, 0.750], [0.292, 0.708, 0.250], [0.966, 0.034, 0.750], [0.034, 0.966, 0.250]]
}

[6]
{
  "formula": "Ga2NiSn",
  "functional": "GGA-PBE",
  "state": "optimized geometry",
  "e_tot_ev_per_atom": -3.786,
  "cell": [[-3.716, -2.062, 1.885], [-0.396, -4.631, -0.113], [0.447, -2.467, 3.915]],
  "species": ["Ni", "Ga", "Ga", "Sn"],
  "fractional_positions": [[0.250, 0.250, 0.250], [0.750, 0.750, 0.750], [0.000, 0.000, 0.000], [0.500, 0.500, 0.500]]
}

[7]
{
  "formula": "Ga2NiSn",
  "functional": "GGA-PBE",
  "state": "optimized geometry",
  "e_tot_ev_per_atom": -3.879,
  "cell": [[4.086, 0.000, 0.000], [0.000, 5.526, 3.292], [0.000, -5.526, 3.292]],
  "species": ["Ga", "Ga", "Ga", "Ga", "Ni", "Ni", "Sn", "Sn"],
  "fractional_positions": [[0.750, 0.856, 0.215], [0.750, 0.380, 0.218], [0.250, 0.218, 0.380], [0.250, 0.215, 0.856], [0.250, 0.592, 0.238], [0.750, 0.238, 0.592], [0.750, 0.854, 0.647], [0.250, 0.647, 0.854]]
}

[8]
{
  "formula": "Sr2GaNi",
  "functional": "GGA-PBE",
  "state": "optimized geometry",
  "e_tot_ev_per_atom": -2.868,
  "cell": [[2.557, 1.476, 4.176], [-2.557, 1.476, 4.176], [0.000, -2.953, 4.176]],
  "species": ["Ga", "Sr", "Sr", "Ni"],
  "fractional_positions": [[0.500, 0.500, 0.500], [0.250, 0.250, 0.250], [0.000, 0.000, 0.000], [0.750, 0.750, 0.750]]
}

Copy entry 7 word for word.
{
  "formula": "Ga2NiSn",
  "functional": "GGA-PBE",
  "state": "optimized geometry",
  "e_tot_ev_per_atom": -3.879,
  "cell": [[4.086, 0.000, 0.000], [0.000, 5.526, 3.292], [0.000, -5.526, 3.292]],
  "species": ["Ga", "Ga", "Ga", "Ga", "Ni", "Ni", "Sn", "Sn"],
  "fractional_positions": [[0.750, 0.856, 0.215], [0.750, 0.380, 0.218], [0.250, 0.218, 0.380], [0.250, 0.215, 0.856], [0.250, 0.592, 0.238], [0.750, 0.238, 0.592], [0.750, 0.854, 0.647], [0.250, 0.647, 0.854]]
}